[1]
First-principles (PBE) data for crystalline RbLi4Nd3I12 at its relaxed geometry, as listed in Alexandria via LeMat-Bulk.

Output
ΔE_f (raw) (eV/atom): -1.208
Crystal system: trigonal
Fermi-level density of states (states/eV/cell): 30.19
Total DFT energy (no corrections) (eV for the cell shown): -197.09
Magnetic moment (μB/cell): 6.11

Unit cell a=16.9772 b=16.9772 c=10.8223 alpha=90.00 beta=90.00 gamma=120.00
With the nearest neighbours (Å) after each atom.
Space group R32 (No. 155, hexagonal axes)
One atom of each set of equivalent atoms:
Rb 0.0000 0.0000 0.0000  6 I 3.98
Li 0.0000 0.0000 0.5000  3 I 2.65
Li 0.0000 0.4099 0.5000  3 I 2.70-2.78
Nd 0.0000 0.5816 0.0000  6 I 3.17-3.18
I 0.0000 0.5737 0.5000  1 Li 2.78
I 0.0000 0.8439 0.5000  1 Li 2.65
I 0.0700 0.2341 0.1685  1 Li 2.70

[2]
First-principles (PBE) data for crystalline Nb2CoMoH at its relaxed geometry, as listed in Alexandria via LeMat-Bulk.

Output
Crystal system: tetragonal
Fermi-level density of states (states/eV/cell): 3.05
Distance to the lowest polymorph of the same formula (meV per atom): 0
Total DFT energy (no corrections) (eV for the cell shown): -41.99
Magnetic moment (μB/cell): 0.00

Unit cell a=4.3967 b=4.3967 c=3.3513 alpha=90.00 beta=90.00 gamma=90.00
With the nearest neighbours (Å) after each atom.
Space group P4/mmm (No. 123)
One atom of each set of equivalent atoms:
Nb 0.0000 0.5000 0.0000  2 H 2.20
Co 0.0000 0.0000 0.5000  2 H 1.68
Mo 0.5000 0.5000 0.5000  8 Nb 2.76
H 0.0000 0.0000 0.0000  2 Co 1.68

[3]
First-principles (PBE) data for crystalline Nd2Dy3Er7 at its relaxed geometry, as listed in Alexandria via LeMat-Bulk.

Output
Crystal system: monoclinic
Fermi-level density of states (states/eV/cell): 17.51
Distance to the lowest polymorph of the same formula (meV per atom): 0
Total DFT energy (no corrections) (eV for the cell shown): -54.28
Magnetic moment (μB/cell): 0.00

Unit cell a=6.3027 b=3.5030 c=17.3732 alpha=90.00 beta=96.20 gamma=90.00
With the nearest neighbours (Å) after each atom.
Space group P2/m (No. 10)
One atom of each set of equivalent atoms:
Nd 0.0599 0.0000 0.1740  5 Er 3.40-3.48, 2 Nd 3.50, 4 Dy 3.58-3.65
Dy 0.4511 0.5000 0.8424  2 Dy 3.50, 7 Er 3.57-3.73, 4 Nd 3.58-3.65
Dy 0.5000 0.0000 0.5000  10 Er 3.49-3.61, 2 Dy 3.50
Er 0.0000 0.5000 0.5000  8 Er 3.47-3.54, 4 Dy 3.61
Er 0.2273 0.0000 0.6658  1 Nd 3.48, 8 Er 3.50-3.61, 3 Dy 3.51-3.68
Er 0.2557 0.0000 0.9993  2 Er 3.08-3.23, 2 Nd 3.40-3.42
Er 0.2752 0.5000 0.3374  7 Er 3.47-3.61, 2 Nd 3.48, 3 Dy 3.49-3.73

[4]
First-principles (PBE) data for crystalline TbYS2 at its relaxed geometry, as listed in Alexandria via LeMat-Bulk.

Output
ΔE_f (raw) (eV/atom): -1.973
Crystal system: trigonal
Fermi-level density of states (states/eV/cell): 2.18
Distance to the lowest polymorph of the same formula (meV per atom): 32
Total DFT energy (no corrections) (eV for the cell shown): -81.72
Magnetic moment (μB/cell): 0.00

Unit cell a=3.8437 b=3.8437 c=20.3390 alpha=90.00 beta=90.00 gamma=120.00
With the nearest neighbours (Å) after each atom.
Space group R3m (No. 160, hexagonal axes)
One atom of each set of equivalent atoms:
Tb 0.0000 0.0000 0.0000  6 S 2.75-2.88
Y 0.0000 0.0000 0.1783  6 S 2.70-2.85
S 0.0000 0.0000 0.5871  3 Y 2.70, 3 Tb 2.75
S 0.0000 0.0000 0.7572  3 Y 2.85, 3 Tb 2.88

[5]
First-principles (PBE) data for crystalline Sc7W at its relaxed geometry, as listed in Alexandria via LeMat-Bulk.

Output
Crystal system: cubic
Fermi-level density of states (states/eV/cell): 52.15
Total DFT energy (no corrections) (eV for the cell shown): -223.49
Magnetic moment (μB/cell): 0.00

Unit cell a=8.9190 b=8.9190 c=8.9190 alpha=90.00 beta=90.00 gamma=90.00
With the nearest neighbours (Å) after each atom.
Space group Fm-3m (No. 225)
One atom of each set of equivalent atoms:
Sc 0.0000 0.0000 0.0000  12 Sc 3.15
Sc 0.0000 0.2500 0.2500  2 W 3.15, 10 Sc 3.15
W 0.0000 0.0000 0.5000  12 Sc 3.15

[6]
First-principles (PBE) data for crystalline MgTl2NiCl6 at its relaxed geometry, as listed in Alexandria via LeMat-Bulk.

Output
ΔE_f (raw) (eV/atom): -1.110
Crystal system: trigonal
Total DFT energy (no corrections) (eV for the cell shown): -205.75
Magnetic moment (μB/cell): 11.75

Unit cell a=7.0272 b=7.0272 c=35.2029 alpha=90.00 beta=90.00 gamma=120.00
With the nearest neighbours (Å) after each atom.
Space group R-3m (No. 166, hexagonal axes)
One atom of each set of equivalent atoms:
Mg 0.0000 0.0000 0.0859  6 Cl 2.48-2.53
Tl 0.0000 0.0000 0.2051  12 Cl 3.44-3.73
Tl 0.0000 0.0000 0.3755  12 Cl 3.52-3.63
Ni 0.0000 0.0000 0.0000  6 Cl 2.41
Ni 0.0000 0.0000 0.5000  6 Cl 2.42
Cl 0.0079 0.5039 0.2063  1 Ni 2.42, 1 Mg 2.53
Cl 0.0168 0.5084 0.6254  1 Ni 2.41, 1 Mg 2.48

Q: total DFT energy (no corrections) of number 3 (Nd2Dy3Er7)?
A: -54.28 eV for the cell shown